No. 1
## PmSm6YHo2 (GGA-PBE)

Data for crystalline PmSm6YHo2 at its relaxed geometry.

The theoretical density comes out at 7.2 g cm⁻³. Its density of states at the Fermi level is 1.476 states/eV per atom. The value obtained for the calculated formation energy is 0.117 eV/atom.

The structure belongs to space group C2/c (No. 15); the cell edges are 9.1781, 15.2686 and 9.6809 Å and the angles 90.00°, 97.72° and 90.00°. Symmetry generates all atoms from Pm at (0.0000, 0.0924, 0.2500), Sm at (0.0627, 0.3192, 0.4454), Sm at (0.1016, 0.1065, 0.6205), Sm at (0.2063, 0.2741, 0.8159), Y at (0.0000, 0.4737, 0.7500) and Ho at (0.2472, 0.4488, 0.0445).

***

No. 2
## Pm2SmYHo (GGA-PBE)

Data for crystalline Pm2SmYHo at its relaxed geometry.

The theoretical density comes out at 6.5 g cm⁻³. Its density of states at the Fermi level is 1.478 states/eV per atom. The value obtained for the calculated formation energy is 0.414 eV/atom.

The structure belongs to space group Cmcm (No. 63); the cell edges are 8.3405, 11.6494 and 7.2670 Å and the angles 90.00°, 90.00° and 90.00°. Symmetry generates all atoms from Pm at (0.1920, 0.0000, 0.0000), Sm at (0.0000, 0.4714, 0.2500), Y at (0.0000, 0.2410, 0.7500) and Ho at (0.0000, 0.2103, 0.2500).

***

No. 3
## PmSmY2Ho2 (GGA-PBE)

Data for crystalline PmSmY2Ho2 at its relaxed geometry.

The theoretical density comes out at 6.7 g cm⁻³. Its density of states at the Fermi level is 1.616 states/eV per atom. The value obtained for the calculated formation energy is 0.268 eV/atom.

The structure belongs to space group Pnnm (No. 58); the cell edges are 6.5810, 17.8400 and 3.4104 Å and the angles 90.00°, 90.00° and 90.00°. Symmetry generates all atoms from Pm at (0.0000, 0.0000, 0.0000), Sm at (0.0000, 0.5000, 0.0000), Y at (0.2267, 0.1854, 0.0000) and Ho at (0.2253, 0.3518, 0.5000).

***

No. 4
## Pm4SmY2Ho2 (GGA-PBE)

Data for crystalline Pm4SmY2Ho2 at its relaxed geometry.

The theoretical density comes out at 6.9 g cm⁻³. Its density of states at the Fermi level is 1.443 states/eV per atom. The value obtained for the calculated formation energy is 0.017 eV/atom.

The structure belongs to space group C2/m (No. 12); the cell edges are 15.2947, 5.0866 and 8.0538 Å and the angles 90.00°, 108.37° and 90.00°. Symmetry generates all atoms from Pm at (0.0550, 0.0000, 0.3310), Pm at (0.2224, 0.5000, 0.3318), Sm at (0.0000, 0.5000, 0.0000), Y at (0.1116, 0.5000, 0.6682) and Ho at (0.1676, 0.0000, 0.0001).

***

No. 5
## PmSmY6Ho2 (GGA-PBE)

Data for crystalline PmSmY6Ho2 at its relaxed geometry.

The theoretical density comes out at 5.9 g cm⁻³. Its density of states at the Fermi level is 1.581 states/eV per atom. The value obtained for the calculated formation energy is 0.120 eV/atom.

The structure belongs to space group C2/c (No. 15); the cell edges are 9.1771, 15.0154 and 9.6396 Å and the angles 90.00°, 97.98° and 90.00°. Symmetry generates all atoms from Pm at (0.0000, 0.0919, 0.2500), Sm at (0.0000, 0.4738, 0.7500), Y at (0.0648, 0.3170, 0.4433), Y at (0.0978, 0.1076, 0.6172), Y at (0.2061, 0.2747, 0.8184) and Ho at (0.2453, 0.4494, 0.0474).

***

No. 6
## PmSm3Y6Ho2 (GGA-PBE)

Data for crystalline PmSm3Y6Ho2 at its relaxed geometry.

The theoretical density comes out at 6.2 g cm⁻³. Its density of states at the Fermi level is 1.353 states/eV per atom. The value obtained for the calculated formation energy is 0.017 eV/atom.

The structure belongs to space group C2/m (No. 12); the cell edges are 6.2127, 10.7520 and 11.8513 Å and the angles 90.00°, 100.01° and 90.00°. Symmetry generates all atoms from Pm at (0.0000, 0.0000, 0.0000), Sm at (0.0000, 0.1670, 0.5000), Sm at (0.0000, 0.5000, 0.5000), Y at (0.2492, 0.5000, 0.2487), Y at (0.2501, 0.1669, 0.2486) and Ho at (0.0000, 0.3334, 0.0000).